Record 1
Compound: Tb7Sn2Sb2
Source: Alexandria
Functional: PBE
Structure: optimized geometry

The structure belongs to space group Cmmm (No. 65); the cell edges are 8.6709, 11.0441 and 7.2673 Å and the angles 90.00°, 90.00° and 90.00°. The distinct sites, in fractional coordinates, are Tb at (0.0000, 0.0000, 0.0000), Tb at (0.0000, 0.5000, 0.2637), Tb at (0.2500, 0.2500, 0.2788), Sn at (0.1801, 0.0000, 0.5000) and Sb at (0.0000, 0.2792, 0.0000).

=====

Record 2
Compound: Tb8SnSb2
Source: Alexandria
Functional: PBE
Structure: optimized geometry

The structure belongs to space group C2/m (No. 12); the cell edges are 19.1971, 4.8803 and 7.2004 Å and the angles 90.00°, 99.56° and 90.00°. The distinct sites, in fractional coordinates, are Tb at (0.0170, 0.0000, 0.2544), Tb at (0.0952, 0.5000, 0.9898), Tb at (0.1624, 0.5000, 0.5240), Tb at (0.2161, 0.0000, 0.8502), Sn at (0.0000, 0.5000, 0.5000) and Sb at (0.1805, 0.0000, 0.2672).

=====

Record 3
Compound: Tb4SnSb2
Source: Alexandria
Functional: PBE
Structure: optimized geometry

The structure belongs to space group Fddd (No. 70, origin choice 2); the cell edges are 9.4908, 13.6974 and 13.7151 Å and the angles 90.00°, 90.00° and 90.00°. The distinct sites, in fractional coordinates, are Tb at (0.0603, 0.2811, 0.4686), Sn at (0.1250, 0.1250, 0.6250) and Sb at (0.0000, 0.0000, 0.0000).

=====

| no. | raw formation energy (eV/f.u.) |
| --- | --- |
| 1 | -4.6 |
| 2 | -5.2 |
| 3 | -5.3 |